# 1
## Mg4InCo (GGA-PBE)

Data for an optimized crystal structure of Mg4InCo.

a b c (Å): 5.5956 5.5956 5.5956
angles (deg): 60.00 60.00 60.00
Last column: nearest neighbours and their distance in Å.
Fractional positions:
Mg 0.1245 0.1245 0.1245  6 Mg 2.79-2.81
Mg 0.1245 0.1245 0.6266  6 Mg 2.79-2.81
Mg 0.1245 0.6266 0.1245  6 Mg 2.79-2.81
Mg 0.6266 0.1245 0.1245  6 Mg 2.79-2.81
In 0.5000 0.5000 0.5000  12 Mg 3.28, 4 Co 3.43
Co 0.7500 0.7500 0.7500  12 Mg 3.28, 4 In 3.43

Values from the calculation:
- volume (Å³/atom) = 20.65
- E_form (eV/f.u.) = 2.2
- DOS(E_F) (states/eV/f.u.) = 8.22
- ρ (g/cm³) = 3.6

---

# 2
## MgInCo2 (GGA-PBE)

Data for an optimized crystal structure of MgInCo2.

a b c (Å): 5.6304 5.6304 5.6304
angles (deg): 103.24 103.24 122.81
Last column: nearest neighbours and their distance in Å.
Fractional positions:
Mg 0.0000 0.0000 0.0000  4 Co 2.56, 2 In 2.69
Mg 0.7500 0.2500 0.5000  4 Co 2.56, 2 In 2.69
In 0.2500 0.7500 0.5000  4 Co 2.57, 2 Mg 2.69
In 0.5000 0.5000 0.0000  4 Co 2.57, 2 Mg 2.69
Co 0.1237 0.6250 0.9987  2 Mg 2.56, 2 In 2.57, 2 Co 2.69
Co 0.3750 0.3737 0.4987  2 Mg 2.56, 2 In 2.57, 2 Co 2.69
Co 0.6263 0.1250 0.0013  2 Mg 2.56, 2 In 2.57, 2 Co 2.69
Co 0.8750 0.8763 0.5013  2 Mg 2.56, 2 In 2.57, 2 Co 2.69

Values from the calculation:
- volume (Å³/atom) = 16.46
- E_form (eV/f.u.) = 2.2
- DOS(E_F) (states/eV/f.u.) = 7.61
- ρ (g/cm³) = 6.5

---

# 3
## MgInCo3 (GGA-PBE)

Data for an optimized crystal structure of MgInCo3.

a b c (Å): 4.3790 4.3790 4.3790
angles (deg): 90.00 90.00 90.00
Last column: nearest neighbours and their distance in Å.
Fractional positions:
Mg 0.0000 0.0000 0.0000  6 Co 2.19
In 0.5000 0.5000 0.5000  12 Co 3.10
Co 0.0000 0.0000 0.5000  2 Mg 2.19
Co 0.0000 0.5000 0.0000  2 Mg 2.19
Co 0.5000 0.0000 0.0000  2 Mg 2.19

Values from the calculation:
- volume (Å³/atom) = 16.79
- E_form (eV/f.u.) = 5.9
- DOS(E_F) (states/eV/f.u.) = 8.05
- ρ (g/cm³) = 6.2

---

# 4
## MgIn2Co2 (GGA-PBE)

Data for an optimized crystal structure of MgIn2Co2.

a b c (Å): 5.9869 5.9869 5.9869
angles (deg): 138.38 138.38 60.32
Last column: nearest neighbours and their distance in Å.
Fractional positions:
Mg 0.0000 0.0000 0.0000  8 Co 3.19, 8 In 3.35
In 0.2500 0.7500 0.5000  4 Co 2.61
In 0.7500 0.2500 0.5000  4 Co 2.61
Co 0.3965 0.3965 0.0000  1 Co 2.14
Co 0.6035 0.6035 0.0000  1 Co 2.14

Values from the calculation:
- volume (Å³/atom) = 18.73
- E_form (eV/f.u.) = 1.5
- DOS(E_F) (states/eV/f.u.) = 4.08
- ρ (g/cm³) = 6.6

---

# 5
## Mg3InCo (GGA-PBE)

Data for an optimized crystal structure of Mg3InCo.

a b c (Å): 4.8443 4.8443 4.8443
angles (deg): 90.00 90.00 90.00
Last column: nearest neighbours and their distance in Å.
Fractional positions:
Mg 0.0000 0.0000 0.5000  2 Co 2.42
Mg 0.0000 0.5000 0.0000  2 Co 2.42
Mg 0.5000 0.0000 0.0000  2 Co 2.42
In 0.5000 0.5000 0.5000  12 Mg 3.43
Co 0.0000 0.0000 0.0000  6 Mg 2.42

Values from the calculation:
- volume (Å³/atom) = 22.74
- E_form (eV/f.u.) = 1.3
- DOS(E_F) (states/eV/f.u.) = 2.52
- ρ (g/cm³) = 3.6

---

# 6
## MgInCo2 (GGA-PBE)

Data for an optimized crystal structure of MgInCo2.

a b c (Å): 8.5171 8.5171 8.5171
angles (deg): 19.85 19.85 19.85
Last column: nearest neighbours and their distance in Å.
Fractional positions:
Mg 0.0000 0.0000 0.0000  6 Co 2.69, 6 Mg 2.94
In 0.5000 0.5000 0.5000  6 Co 2.68, 6 In 2.94
Co 0.2498 0.2498 0.2498  3 In 2.68, 3 Mg 2.69, 6 Co 2.94
Co 0.7502 0.7502 0.7502  3 In 2.68, 3 Mg 2.69, 6 Co 2.94

Values from the calculation:
- volume (Å³/atom) = 15.57
- E_form (eV/f.u.) = 1.4
- DOS(E_F) (states/eV/f.u.) = 3.78
- ρ (g/cm³) = 6.9